Record 1
# La2RhPbN, relaxed, DFT PBE-GGA
data_La2RhPbN
_cell_length_a 5.314
_cell_length_b 5.314
_cell_length_c 4.073
_cell_angle_alpha 90.00
_cell_angle_beta 90.00
_cell_angle_gamma 90.00
_space_group_name_H-M_alt 'P 4/m m m'
_space_group_IT_number 123
_space_group_name_Hall '-P 4 2'
loop_
_atom_site_label
_atom_site_fract_x
_atom_site_fract_y
_atom_site_fract_z
_atom_site_occupancy
La1 0.000 0.500 0.000 1
Rh1 0.000 0.000 0.500 1
Pb1 0.500 0.500 0.500 1
N1 0.000 0.000 0.000 1
# - uncorrected formation energy (eV/atom) = -0.69
# - final energy (Ry per atom) = -0.4804

=====

Record 2
# La6RuPb2N, relaxed, DFT PBE-GGA
data_La6RuPb2N
_cell_length_a 7.564
_cell_length_b 7.578
_cell_length_c 10.704
_cell_angle_alpha 90.00
_cell_angle_beta 90.00
_cell_angle_gamma 90.00
_space_group_name_H-M_alt 'I m m m'
_space_group_IT_number 71
_space_group_name_Hall '-I 2 2'
loop_
_atom_site_label
_atom_site_fract_x
_atom_site_fract_y
_atom_site_fract_z
_atom_site_occupancy
La1 0.000 0.000 0.240 1
La2 0.239 0.240 0.000 1
Ru1 0.000 0.000 0.500 1
Pb1 0.000 0.500 0.250 1
N1 0.000 0.000 0.000 1
# - uncorrected formation energy (eV/atom) = -0.58
# - final energy (Ry per atom) = -0.4438

=====

Record 3
# LaPbSN2, relaxed, DFT PBE-GGA
data_LaPbSN2
_cell_length_a 4.313
_cell_length_b 4.313
_cell_length_c 5.246
_cell_angle_alpha 90.00
_cell_angle_beta 90.00
_cell_angle_gamma 90.00
_space_group_name_H-M_alt 'P 4/m m m'
_space_group_IT_number 123
_space_group_name_Hall '-P 4 2'
loop_
_atom_site_label
_atom_site_fract_x
_atom_site_fract_y
_atom_site_fract_z
_atom_site_occupancy
La1 0.000 0.000 0.000 1
Pb1 0.500 0.500 0.500 1
S1 0.500 0.500 0.000 1
N1 0.000 0.500 0.500 1
# - uncorrected formation energy (eV/atom) = 0.34
# - final energy (Ry per atom) = -0.4072
# - ΔE to the lowest computed polymorph (eV per atom) = 0.000

=====

Record 4
# LaPbSN2, relaxed, DFT PBE-GGA
data_LaPbSN2
_cell_length_a 4.342
_cell_length_b 4.342
_cell_length_c 5.968
_cell_angle_alpha 90.00
_cell_angle_beta 90.00
_cell_angle_gamma 90.00
_space_group_name_H-M_alt 'P 4/m m m'
_space_group_IT_number 123
_space_group_name_Hall '-P 4 2'
loop_
_atom_site_label
_atom_site_fract_x
_atom_site_fract_y
_atom_site_fract_z
_atom_site_occupancy
La1 0.000 0.000 0.000 1
Pb1 0.500 0.500 0.500 1
S1 0.000 0.000 0.500 1
N1 0.000 0.500 0.000 1
# - uncorrected formation energy (eV/atom) = 0.39
# - final energy (Ry per atom) = -0.4039
# - ΔE to the lowest computed polymorph (eV per atom) = 0.046

=====

Record 5
# La4SbPbN, relaxed, DFT PBE-GGA
data_La4SbPbN
_cell_length_a 6.916
_cell_length_b 17.671
_cell_length_c 6.949
_cell_angle_alpha 90.00
_cell_angle_beta 90.00
_cell_angle_gamma 90.00
_space_group_name_H-M_alt 'C m c m'
_space_group_IT_number 63
_space_group_name_Hall '-C 2c 2'
loop_
_atom_site_label
_atom_site_fract_x
_atom_site_fract_y
_atom_site_fract_z
_atom_site_occupancy
La1 0.000 0.075 0.250 1
La2 0.000 0.415 0.250 1
La3 0.250 0.250 0.000 1
Sb1 0.000 0.111 0.750 1
Pb1 0.000 0.393 0.750 1
N1 0.000 0.278 0.250 1
# - uncorrected formation energy (eV/atom) = -0.97
# - final energy (Ry per atom) = -0.4479

=====

Record 6
# La2ScPbN, relaxed, DFT PBE-GGA
data_La2ScPbN
_cell_length_a 5.236
_cell_length_b 5.236
_cell_length_c 4.473
_cell_angle_alpha 90.00
_cell_angle_beta 90.00
_cell_angle_gamma 90.00
_space_group_name_H-M_alt 'P 4/m m m'
_space_group_IT_number 123
_space_group_name_Hall '-P 4 2'
loop_
_atom_site_label
_atom_site_fract_x
_atom_site_fract_y
_atom_site_fract_z
_atom_site_occupancy
La1 0.000 0.500 0.000 1
Sc1 0.000 0.000 0.500 1
Pb1 0.500 0.500 0.500 1
N1 0.000 0.000 0.000 1
# - uncorrected formation energy (eV/atom) = -0.92
# - final energy (Ry per atom) = -0.4822

=====

Record 7
# LaPbSeN2, relaxed, DFT PBE-GGA
data_LaPbSeN2
_cell_length_a 4.388
_cell_length_b 4.388
_cell_length_c 5.512
_cell_angle_alpha 90.00
_cell_angle_beta 90.00
_cell_angle_gamma 90.00
_space_group_name_H-M_alt 'P 4/m m m'
_space_group_IT_number 123
_space_group_name_Hall '-P 4 2'
loop_
_atom_site_label
_atom_site_fract_x
_atom_site_fract_y
_atom_site_fract_z
_atom_site_occupancy
La1 0.000 0.000 0.000 1
Pb1 0.500 0.500 0.500 1
Se1 0.500 0.500 0.000 1
N1 0.000 0.500 0.500 1
# - uncorrected formation energy (eV/atom) = 0.45
# - final energy (Ry per atom) = -0.3900
# - ΔE to the lowest computed polymorph (eV per atom) = 0.059

=====

Record 8
# LaPbSeN2, relaxed, DFT PBE-GGA
data_LaPbSeN2
_cell_length_a 4.393
_cell_length_b 4.393
_cell_length_c 6.255
_cell_angle_alpha 90.00
_cell_angle_beta 90.00
_cell_angle_gamma 90.00
_space_group_name_H-M_alt 'P 4/m m m'
_space_group_IT_number 123
_space_group_name_Hall '-P 4 2'
loop_
_atom_site_label
_atom_site_fract_x
_atom_site_fract_y
_atom_site_fract_z
_atom_site_occupancy
La1 0.000 0.000 0.000 1
Pb1 0.500 0.500 0.500 1
Se1 0.000 0.000 0.500 1
N1 0.000 0.500 0.000 1
# - uncorrected formation energy (eV/atom) = 0.39
# - final energy (Ry per atom) = -0.3943
# - ΔE to the lowest computed polymorph (eV per atom) = 0.000